Here is RbIn2CuSe4 after structural relaxation from Alexandria. Energies are from PBE-GGA.

POSCAR file:
```
RbIn2CuSe4
1.0
-1.411 4.456 -4.232
-7.442 0.007 -2.209
-6.019 4.469 2.014
Se In Cu Rb
4 2 1 1
direct
0.563 0.437 0.836
0.437 0.164 0.563
0.836 0.563 0.164
0.164 0.836 0.437
0.250 0.250 0.250
0.750 0.750 0.750
0.500 0.500 0.500
0.000 0.000 0.000
```

Summary:
The value obtained for the formation energy without anion corrections is -403 kJ/mol of formula units. The total energy is -28.66 eV for the cell shown. Its crystal system is tetragonal. As for the total magnetic moment: 0.0 μB/f.u. The calculation puts the calculated volume at 31.585 A^3/atom. The density of states at the Fermi level is 4.7 states/eV/cell.

***

Here is La2Tb5Th4 after structural relaxation from Alexandria. Energies are from PBE-GGA.

POSCAR file:
```
La2Tb5Th4
1.0
3.474 0.000 -0.556
-0.102 8.635 -0.638
0.188 -0.020 12.294
Th Tb La
4 5 2
direct
0.044 0.351 0.088
0.956 0.649 0.912
0.416 0.315 0.831
0.584 0.685 0.169
0.500 0.000 0.000
0.129 0.042 0.257
0.183 0.469 0.365
0.871 0.958 0.743
0.817 0.531 0.635
0.727 0.821 0.454
0.273 0.179 0.546
```

Summary:
The total energy is -61.27 eV for the cell shown. Its crystal system is monoclinic. As for the total magnetic moment: 0.0 μB/f.u. The calculation puts the calculated volume at 33.604 A^3/atom. The density of states at the Fermi level is 17.7 states/eV/cell. The formation energy is 0.13 eV/atom.

***

Here is CuNi2GeH after structural relaxation from Alexandria. Energies are from PBE-GGA.

POSCAR file:
```
CuNi2GeH
1.0
-0.342 2.503 -2.691
1.901 -2.192 -2.280
-3.121 -1.585 -1.078
Cu Ge Ni H
1 1 2 1
direct
0.000 0.000 0.500
0.500 0.500 0.500
0.500 0.000 0.000
0.000 0.500 0.000
0.000 0.000 0.000
```

Summary:
The total energy is -24.10 eV for the cell shown. Its crystal system is tetragonal. As for the total magnetic moment: 0.0 μB/f.u. The calculation puts the calculated volume at 9.977 A^3/atom. The density of states at the Fermi level is 2.7 states/eV/cell.